(1)
# PBE CaZnTe2, relaxed
data_CaZnTe2
_chemical_formula_sum 'Ca1 Zn1 Te2'
_space_group_name_H-M_alt 'P 4 m m'
_space_group_IT_number 99
_cell_length_a 4.303
_cell_length_b 4.303
_cell_length_c 6.448
_cell_angle_alpha 90.00
_cell_angle_beta 90.00
_cell_angle_gamma 90.00
loop_
_space_group_symop_operation_xyz
'x,y,z'
'-y,x,z'
'-x,-y,z'
'y,-x,z'
'-x,y,z'
'y,x,z'
'x,-y,z'
'-y,-x,z'
loop_
_atom_site_label
_atom_site_fract_x
_atom_site_fract_y
_atom_site_fract_z
Ca1 0.000 0.000 0.000
Zn1 0.500 0.500 0.582
Te1 0.000 0.000 0.499
Te2 0.500 0.500 0.000
# * volume: 29.85 Å³/atom
# * energy: -3.2063 eV per atom
# * formation energy without anion corrections: -0.82 eV/atom

---

(2)
# PBE CaZnTe2, relaxed
data_CaZnTe2
_chemical_formula_sum 'Ca4 Zn4 Te8'
_space_group_name_H-M_alt 'I -4 2 d'
_space_group_IT_number 122
_space_group_name_Hall 'I -4 2bw'
_cell_length_a 6.946
_cell_length_b 6.946
_cell_length_c 11.959
_cell_angle_alpha 90.00
_cell_angle_beta 90.00
_cell_angle_gamma 90.00
loop_
_atom_site_label
_atom_site_fract_x
_atom_site_fract_y
_atom_site_fract_z
Ca1 0.000 0.000 0.000
Zn1 0.000 0.000 0.500
Te1 0.203 0.250 0.625
# * volume: 36.06 Å³/atom
# * energy: -3.2838 eV per atom
# * formation energy without anion corrections: -0.89 eV/atom

---

(3)
# PBE CaZnTe2, relaxed
data_CaZnTe2
_chemical_formula_sum 'Ca3 Zn3 Te6'
_space_group_name_H-M_alt 'R -3 m'
_space_group_IT_number 166
_space_group_name_Hall '-R 3 2"'
_cell_length_a 4.9070
_cell_length_b 4.9070
_cell_length_c 23.9105
_cell_angle_alpha 90.00
_cell_angle_beta 90.00
_cell_angle_gamma 120.00
loop_
_atom_site_label
_atom_site_fract_x
_atom_site_fract_y
_atom_site_fract_z
Ca1 0.0000 0.0000 0.0000
Zn1 0.0000 0.0000 0.5000
Te1 0.0000 0.0000 0.3970
# * volume: 41.55 Å³/atom
# * energy: -3.2079 eV per atom
# * formation energy without anion corrections: -0.82 eV/atom

---

(4)
# PBE CaZnTe2, relaxed
data_CaZnTe2
_chemical_formula_sum 'Ca2 Zn2 Te4'
_space_group_name_H-M_alt 'C 1 m 1'
_space_group_IT_number 8
_cell_length_a 13.983
_cell_length_b 4.182
_cell_length_c 4.495
_cell_angle_alpha 90.00
_cell_angle_beta 94.64
_cell_angle_gamma 90.00
loop_
_space_group_symop_operation_xyz
'x,y,z'
'x,-y,z'
'x+1/2,y+1/2,z'
'x+1/2,-y+1/2,z'
loop_
_atom_site_label
_atom_site_fract_x
_atom_site_fract_y
_atom_site_fract_z
Ca1 0.000 0.000 0.000
Zn1 0.238 0.500 0.772
Te1 0.067 0.500 0.520
Te2 0.317 0.000 0.042
# * volume: 32.75 Å³/atom
# * energy: -3.2620 eV per atom
# * formation energy without anion corrections: -0.87 eV/atom

---

(5)
# PBE CaZrTe2, relaxed
data_CaZrTe2
_chemical_formula_sum 'Ca4 Zr4 Te8'
_space_group_name_H-M_alt 'F -4 3 m'
_space_group_IT_number 216
_space_group_name_Hall 'F -4 2 3'
_cell_length_a 7.568
_cell_length_b 7.568
_cell_length_c 7.568
_cell_angle_alpha 90.00
_cell_angle_beta 90.00
_cell_angle_gamma 90.00
loop_
_atom_site_label
_atom_site_fract_x
_atom_site_fract_y
_atom_site_fract_z
Ca1 0.000 0.000 0.000
Zr1 0.250 0.250 0.750
Te1 0.000 0.000 0.500
Te2 0.250 0.250 0.250
# * volume: 27.09 Å³/atom
# * energy: -4.2999 eV per atom
# * formation energy without anion corrections: -0.09 eV/atom

---

(6)
# PBE Ca4ZrTe, relaxed
data_Ca4ZrTe
_chemical_formula_sum 'Ca16 Zr4 Te4'
_space_group_name_H-M_alt 'F -4 3 m'
_space_group_IT_number 216
_space_group_name_Hall 'F -4 2 3'
_cell_length_a 9.369
_cell_length_b 9.369
_cell_length_c 9.369
_cell_angle_alpha 90.00
_cell_angle_beta 90.00
_cell_angle_gamma 90.00
loop_
_atom_site_label
_atom_site_fract_x
_atom_site_fract_y
_atom_site_fract_z
Ca1 0.124 0.124 0.376
Zr1 0.250 0.250 0.750
Te1 0.000 0.000 0.000
# * volume: 34.27 Å³/atom
# * energy: -2.9635 eV per atom
# * formation energy without anion corrections: 0.32 eV/atom